(1)
DFT (GGA-PBE) results for Pr3NdAg3 after structural relaxation.

## Properties
Total DFT energy (no corrections)   -4.060 eV per atom
Distance to the lowest polymorph of the same formula   0.0 meV/atom
Total magnetization   0.00 μB per formula unit
Energy of formation   -109 meV per atom
Symmetry   C2/m (12)

a = 7.567 Å, b = 7.567 Å, c = 7.229 Å
α = 90.49°, β = 90.49°, γ = 94.20°
Sites, in units of the cell vectors:
Nd (0.255, 0.255, 0.137)
Nd (0.745, 0.745, 0.863)
Ag (0.518, 0.000, 0.267)
Ag (0.067, 0.067, 0.819)
Ag (0.482, 0.000, 0.733)
Ag (0.933, 0.933, 0.181)
Ag (0.000, 0.482, 0.733)
Ag (0.000, 0.518, 0.267)
Pr (0.638, 0.638, 0.373)
Pr (0.732, 0.268, 0.000)
Pr (0.179, 0.821, 0.500)
Pr (0.362, 0.362, 0.627)
Pr (0.268, 0.732, 0.000)
Pr (0.821, 0.179, 0.500)

---

(2)
DFT (GGA-PBE) results for PrNd2Ag after structural relaxation.

## Properties
Total DFT energy (no corrections)   -4.281 eV per atom
Distance to the lowest polymorph of the same formula   119.4 meV/atom
Total magnetization   0.00 μB per formula unit
Energy of formation   11 meV per atom
Symmetry   R3m (160)

a = 3.713 Å, b = 3.713 Å, c = 11.004 Å
α = 80.29°, β = 80.29°, γ = 60.00°
Sites, in units of the cell vectors:
Pr (0.500, 0.500, 0.501)
Ag (0.667, 0.667, 0.999)
Nd (0.261, 0.261, 0.218)
Nd (0.073, 0.073, 0.782)

---

(3)
DFT (GGA-PBE) results for PrNd6Ag2 after structural relaxation.

## Properties
Total DFT energy (no corrections)   -4.444 eV per atom
Total magnetization   0.00 μB per formula unit
Energy of formation   -100 meV per atom
Symmetry   C2/m (12)

a = 3.793 Å, b = 6.723 Å, c = 12.014 Å
α = 75.46°, β = 80.92°, γ = 73.61°
Sites, in units of the cell vectors:
Nd (0.314, 0.785, 0.588)
Nd (0.976, 0.714, 0.334)
Nd (0.686, 0.215, 0.412)
Nd (0.315, 0.493, 0.876)
Nd (0.024, 0.286, 0.666)
Nd (0.685, 0.507, 0.124)
Ag (0.350, 0.095, 0.204)
Ag (0.650, 0.905, 0.796)
Pr (0.000, 0.000, 0.000)